Pm3NdO: relaxed, PBE.

## Properties
**Total DFT energy (no corrections)**: -29.39 eV per cell
**Symmetry**: Pm-3m

Cell lengths 5.092, 5.092, 5.092 Å; angles 90.00, 90.00, 90.00 degrees
Sites, in units of the cell vectors:
1 Pm 0.500 0.000 0.000
2 Pm 0.000 0.500 0.000
3 Nd 0.500 0.500 0.500
4 Pm 0.000 0.000 0.500
5 O 0.000 0.000 0.000